Entry from Alexandria via LeMat-Bulk: a relaxed Li2CuAg crystal (GGA-PBEsol).

Geometry as POSCAR:
```
Li2CuAg
1.0
4.493 -1.370 0.000
4.493 1.370 0.000
-0.791 0.000 4.594
Li Cu Ag
2 1 1
Cartesian
0.000 0.000 0.000
1.537 0.000 3.342
6.473 0.000 1.093
3.975 0.000 2.208
```

## Properties
E_form in eV per atom: -0.054
Size of the total moment in μB/cell: 0.00